1.
This record from Alexandria via LeMat-Bulk describes a relaxed structure of HfZr2H8. The functional is GGA-PBE.

Summary:
The energy above the most stable polymorph in this dataset comes out at 0.71 kcal/mol of atoms. The spin magnetization comes out at 0.00 μB per atom.

abc: 5.749 5.749 5.749
angles: 148.41 121.96 67.60
Positions (direct):
Hf  0.000  0.000  0.000
Zr  0.328  0.328  0.000
Zr  0.672  0.672  0.000
H  0.093  0.840  0.252
H  0.168  0.668  0.500
H  0.256  0.500  0.756
H  0.412  0.160  0.252
H  0.588  0.840  0.748
H  0.744  0.500  0.244
H  0.832  0.332  0.500
H  0.907  0.160  0.748


2.
This record from Alexandria via LeMat-Bulk describes a relaxed structure of MgHgAu6. The functional is GGA-PBE.

Summary:
The spin magnetization comes out at 0.00 μB per atom.

abc: 4.169 4.169 8.474
angles: 90.00 90.00 90.00
Positions (direct):
Mg  0.000  0.000  0.000
Hg  0.000  0.000  0.500
Au  0.000  0.500  0.240
Au  0.000  0.500  0.760
Au  0.500  0.000  0.240
Au  0.500  0.000  0.760
Au  0.500  0.500  0.000
Au  0.500  0.500  0.500


3.
This record from Alexandria via LeMat-Bulk describes a relaxed structure of Eu3Ni5Cl12. The functional is GGA-PBE.

Summary:
The calculation puts the formation energy (no corrections) at -1.159 eV per atom. The spin magnetization comes out at 1.32 μB per atom.

abc: 13.243 13.243 13.243
angles: 109.47 109.47 109.47
Positions (direct):
Eu  0.125  0.250  0.375
Eu  0.125  0.375  0.750
Eu  0.250  0.375  0.125
Eu  0.250  0.875  0.625
Eu  0.375  0.125  0.250
Eu  0.375  0.750  0.125
Eu  0.625  0.250  0.875
Eu  0.625  0.875  0.750
Eu  0.750  0.125  0.375
Eu  0.750  0.625  0.875
Eu  0.875  0.625  0.250
Eu  0.875  0.750  0.625
Ni  0.000  0.000  0.000
Ni  0.000  0.000  0.500
Ni  0.000  0.500  0.000
Ni  0.000  0.500  0.500
Ni  0.125  0.750  0.875
Ni  0.125  0.875  0.250
Ni  0.250  0.125  0.875
Ni  0.250  0.625  0.375
Ni  0.375  0.250  0.625
Ni  0.375  0.625  0.750
Ni  0.500  0.000  0.000
Ni  0.500  0.000  0.500
Ni  0.500  0.500  0.000
Ni  0.500  0.500  0.500
Ni  0.625  0.375  0.250
Ni  0.625  0.750  0.375
Ni  0.750  0.375  0.625
Ni  0.750  0.875  0.125
Ni  0.875  0.125  0.750
Ni  0.875  0.250  0.125
Cl  0.025  0.204  0.117
Cl  0.025  0.321  0.908
Cl  0.086  0.704  0.679
Cl  0.086  0.883  0.408
Cl  0.092  0.617  0.414
Cl  0.092  0.975  0.679
Cl  0.117  0.025  0.204
Cl  0.117  0.592  0.914
Cl  0.179  0.204  0.586
Cl  0.179  0.475  0.592
Cl  0.204  0.117  0.025
Cl  0.204  0.586  0.179
Cl  0.296  0.321  0.914
Cl  0.296  0.475  0.383
Cl  0.321  0.908  0.025
Cl  0.321  0.914  0.296
Cl  0.383  0.296  0.475
Cl  0.383  0.586  0.908
Cl  0.408  0.086  0.883
Cl  0.408  0.821  0.525
Cl  0.414  0.092  0.617
Cl  0.414  0.821  0.796
Cl  0.475  0.383  0.296
Cl  0.475  0.592  0.179
Cl  0.525  0.408  0.821
Cl  0.525  0.617  0.704
Cl  0.586  0.179  0.204
Cl  0.586  0.908  0.383
Cl  0.592  0.179  0.475
Cl  0.592  0.914  0.117
Cl  0.617  0.414  0.092
Cl  0.617  0.704  0.525
Cl  0.679  0.086  0.704
Cl  0.679  0.092  0.975
Cl  0.704  0.525  0.617
Cl  0.704  0.679  0.086
Cl  0.796  0.414  0.821
Cl  0.796  0.883  0.975
Cl  0.821  0.525  0.408
Cl  0.821  0.796  0.414
Cl  0.883  0.408  0.086
Cl  0.883  0.975  0.796
Cl  0.908  0.025  0.321
Cl  0.908  0.383  0.586
Cl  0.914  0.117  0.592
Cl  0.914  0.296  0.321
Cl  0.975  0.679  0.092
Cl  0.975  0.796  0.883


4.
This record from Alexandria via LeMat-Bulk describes a relaxed structure of MgCu2. The functional is GGA-PBE.

Summary:
The spin magnetization comes out at 0.00 μB per atom.

abc: 2.812 2.812 19.023
angles: 90.00 90.00 120.00
Positions (direct):
Mg  0.000  0.000  0.000
Mg  0.333  0.667  0.667
Mg  0.667  0.333  0.333
Cu  0.000  0.000  0.218
Cu  0.000  0.000  0.782
Cu  0.333  0.667  0.448
Cu  0.333  0.667  0.885
Cu  0.667  0.333  0.115
Cu  0.667  0.333  0.552


5.
This record from Alexandria via LeMat-Bulk describes a relaxed structure of LiTbPm2Hg4. The functional is GGA-PBE.

Summary:
The spin magnetization comes out at 0.00 μB per atom.

abc: 9.165 9.165 9.165
angles: 33.17 33.17 33.17
Positions (direct):
Li  0.000  0.000  0.000
Tb  0.500  0.500  0.500
Pm  0.255  0.255  0.255
Pm  0.745  0.745  0.745
Hg  0.125  0.125  0.125
Hg  0.375  0.375  0.375
Hg  0.625  0.625  0.625
Hg  0.875  0.875  0.875


6.
This record from Alexandria via LeMat-Bulk describes a relaxed structure of Er2AlGa3. The functional is GGA-PBE.

Summary:
The energy above the most stable polymorph in this dataset comes out at 0.00 kcal/mol of atoms. The spin magnetization comes out at 0.00 μB per atom.

abc: 10.642 4.257 6.958
angles: 90.00 130.00 90.00
Positions (direct):
Er  0.000  0.000  0.000
Er  0.118  0.000  0.622
Er  0.500  0.500  0.000
Er  0.618  0.500  0.622
Al  0.223  0.500  0.419
Al  0.723  0.000  0.419
Ga  0.222  0.500  0.022
Ga  0.398  0.000  0.604
Ga  0.402  0.000  0.207
Ga  0.722  0.000  0.022
Ga  0.898  0.500  0.604
Ga  0.902  0.500  0.207


7.
This record from Alexandria via LeMat-Bulk describes a relaxed structure of Ta2CoTc. The functional is GGA-PBE.

Summary:
The energy above the most stable polymorph in this dataset comes out at 5.75 kcal/mol of atoms. The spin magnetization comes out at 0.28 μB per atom.

abc: 5.594 8.459 2.785
angles: 90.00 109.46 90.00
Positions (direct):
Ta  0.250  0.250  0.000
Ta  0.250  0.750  0.000
Ta  0.750  0.250  0.000
Ta  0.750  0.750  0.000
Co  0.000  0.000  0.500
Co  0.500  0.500  0.500
Tc  0.000  0.500  0.500
Tc  0.500  0.000  0.500


8.
This record from Alexandria via LeMat-Bulk describes a relaxed structure of KBa3Al. The functional is GGA-PBE.

Summary:
The energy above the most stable polymorph in this dataset comes out at 18.41 kcal/mol of atoms. The spin magnetization comes out at 0.38 μB per atom.

abc: 6.623 6.623 6.623
angles: 90.00 90.00 90.00
Positions (direct):
K  0.000  0.000  0.000
Ba  0.000  0.000  0.500
Ba  0.000  0.500  0.000
Ba  0.500  0.000  0.000
Al  0.500  0.500  0.500


9.
This record from Alexandria via LeMat-Bulk describes a relaxed structure of Sr2Li2H. The functional is GGA-PBE.

Summary:
The spin magnetization comes out at 0.00 μB per atom.

abc: 7.261 7.261 6.101
angles: 90.00 90.00 90.00
Positions (direct):
Sr  0.193  0.307  0.000
Sr  0.307  0.807  0.000
Sr  0.693  0.193  0.000
Sr  0.807  0.693  0.000
Li  0.136  0.636  0.500
Li  0.364  0.136  0.500
Li  0.636  0.864  0.500
Li  0.864  0.364  0.500
H  0.000  0.000  0.000
H  0.500  0.500  0.000


10.
This record from Alexandria via LeMat-Bulk describes a relaxed structure of KTi2HgBi. The functional is GGA-PBE.

Summary:
The spin magnetization comes out at 0.47 μB per atom.

abc: 5.220 5.220 5.691
angles: 90.00 90.00 90.00
Positions (direct):
K  0.000  0.000  0.000
Ti  0.000  0.500  0.500
Ti  0.500  0.000  0.500
Hg  0.000  0.000  0.500
Bi  0.500  0.500  0.000


11.
This record from Alexandria via LeMat-Bulk describes a relaxed structure of TbDy6Cd. The functional is GGA-PBE.

Summary:
The energy above the most stable polymorph in this dataset comes out at 1.84 kcal/mol of atoms. The spin magnetization comes out at 0.00 μB per atom.

abc: 6.289 6.289 6.289
angles: 94.41 94.41 94.41
Positions (direct):
Tb  0.000  0.000  0.000
Dy  0.051  0.540  0.258
Dy  0.258  0.051  0.540
Dy  0.460  0.742  0.949
Dy  0.540  0.258  0.051
Dy  0.742  0.949  0.460
Dy  0.949  0.460  0.742
Cd  0.500  0.500  0.500


12.
This record from Alexandria via LeMat-Bulk describes a relaxed structure of LiCaIr2. The functional is GGA-PBE.

Summary:
The energy above the most stable polymorph in this dataset comes out at 2.88 kcal/mol of atoms. The spin magnetization comes out at 0.00 μB per atom.

abc: 2.707 4.222 5.906
angles: 90.00 90.00 90.00
Positions (direct):
Li  0.000  0.000  0.000
Ca  0.000  0.000  0.500
Ir  0.500  0.500  0.212
Ir  0.500  0.500  0.788


no.,N(E_F) (states/eV/f.u.),uncorrected energy (eV per atom)
1,2.39,-5.241
2,2.68,-2.866
3,66.62,-5.254
4,0.49,-3.161
5,7.95,-2.612
6,3.21,-4.247
7,4.10,-10.323
8,6.67,-1.235
9,3.23,-2.028
10,6.35,-3.393
11,10.21,-4.095
12,2.86,-5.409